MnVP2O8, relaxed, DFT PBE+U; offset from the most stable computed form = 0.0865 eV/atom; final energy = -89.438 eV per cell; space group = P-3m1
1.0
5.145 0.000 0.000
-2.573 4.456 0.000
0.000 0.000 6.158
Mn V P O
1 1 2 8
direct
0.000 0.000 0.500
0.000 0.000 0.000
0.667 0.333 0.286
0.333 0.667 0.714
0.168 0.832 0.801
0.663 0.832 0.801
0.832 0.168 0.199
0.168 0.337 0.801
0.667 0.333 0.530
0.337 0.168 0.199
0.832 0.663 0.199
0.333 0.667 0.470